An optimized crystal structure of KZnF3. Source: Alexandria via LeMat-Bulk, functional PBE-GGA.

Cell lengths 21.9088, 5.5118, 8.4371 Å; angles 90.00, 162.91, 90.00 degrees
Sites, in units of the cell vectors:
F (0.8610, 0.0839, 0.7549)
K (0.9864, 0.2374, 0.3393)
F (0.1390, 0.9161, 0.2451)
F (0.4188, 0.8056, 0.6101)
F (0.1956, 0.4371, 0.5297)
F (0.3044, 0.9371, 0.9703)
K (0.0136, 0.7626, 0.6607)
F (0.9188, 0.6944, 0.1101)
F (0.6956, 0.0629, 0.0297)
F (0.3610, 0.4161, 0.2549)
K (0.4864, 0.2626, 0.8393)
F (0.0812, 0.3056, 0.8899)
K (0.5136, 0.7374, 0.1607)
Zn (0.4675, 0.2582, 0.3198)
F (0.5812, 0.1944, 0.3899)
Zn (0.9675, 0.2418, 0.8198)
F (0.8044, 0.5629, 0.4703)
F (0.6390, 0.5839, 0.7451)
Zn (0.0325, 0.7582, 0.1802)
Zn (0.5325, 0.7418, 0.6802)

The symmetry is No. 14. As for the total energy: -4.11 eV/atom. As for the uncorrected formation energy: -2.517 eV per atom.